1.
# Ac2NdRu2 (GGA-PBE, optimized geometry)
data_Ac2NdRu2
_cell_length_a 12.370
_cell_length_b 4.594
_cell_length_c 11.033
_cell_angle_alpha 90.00
_cell_angle_beta 117.71
_cell_angle_gamma 90.00
_space_group_name_H-M_alt 'C 1 2/m 1'
_space_group_IT_number 12
loop_
_space_group_symop_operation_xyz
'x,y,z'
'-x,-y,-z'
'-x,y,-z'
'x,-y,z'
'x+1/2,y+1/2,z'
'-x+1/2,-y+1/2,-z'
'-x+1/2,y+1/2,-z'
'x+1/2,-y+1/2,z'
loop_
_atom_site_label
_atom_site_type_symbol
_atom_site_fract_x
_atom_site_fract_y
_atom_site_fract_z
Ac1 Ac 0.027 0.000 0.194
Ac2 Ac 0.178 0.000 0.589
Nd1 Nd 0.208 0.500 0.869
Ru1 Ru 0.038 0.500 0.410
Ru2 Ru 0.123 0.500 0.080
# * calculated formation energy: -0.09 eV/atom
# * theoretical density: 9.6 g cm⁻³
# * DOS at the Fermi energy: 4.33 states/eV/f.u.

***

2.
# AcNd3Ru2 (GGA-PBE, optimized geometry)
data_AcNd3Ru2
_cell_length_a 16.101
_cell_length_b 5.259
_cell_length_c 8.552
_cell_angle_alpha 90.00
_cell_angle_beta 113.92
_cell_angle_gamma 90.00
_space_group_name_H-M_alt 'C 1 2/m 1'
_space_group_IT_number 12
loop_
_space_group_symop_operation_xyz
'x,y,z'
'-x,-y,-z'
'-x,y,-z'
'x,-y,z'
'x+1/2,y+1/2,z'
'-x+1/2,-y+1/2,-z'
'-x+1/2,y+1/2,-z'
'x+1/2,-y+1/2,z'
loop_
_atom_site_label
_atom_site_type_symbol
_atom_site_fract_x
_atom_site_fract_y
_atom_site_fract_z
Ac1 Ac 0.128 0.000 0.216
Nd1 Nd 0.073 0.000 0.728
Nd2 Nd 0.129 0.500 0.510
Nd3 Nd 0.183 0.500 0.988
Ru1 Ru 0.007 0.500 0.156
Ru2 Ru 0.228 0.000 0.635
# * calculated formation energy: -0.03 eV/atom
# * theoretical density: 8.6 g cm⁻³
# * DOS at the Fermi energy: 4.85 states/eV/f.u.

***

3.
# Ac3Nd5Ru2 (GGA-PBE, optimized geometry)
data_Ac3Nd5Ru2
_cell_length_a 12.613
_cell_length_b 14.809
_cell_length_c 7.259
_cell_angle_alpha 90.00
_cell_angle_beta 90.00
_cell_angle_gamma 90.00
_space_group_name_H-M_alt 'I b a m'
_space_group_IT_number 72
_space_group_name_Hall '-I 2 2c'
loop_
_atom_site_label
_atom_site_type_symbol
_atom_site_fract_x
_atom_site_fract_y
_atom_site_fract_z
Ac1 Ac 0.000 0.000 0.250
Ac2 Ac 0.242 0.173 0.000
Nd1 Nd 0.000 0.269 0.250
Nd2 Nd 0.000 0.500 0.250
Nd3 Nd 0.214 0.430 0.000
Ru1 Ru 0.106 0.160 0.500
# * calculated formation energy: -0.02 eV/atom
# * theoretical density: 7.9 g cm⁻³
# * DOS at the Fermi energy: 10.75 states/eV/f.u.

***

4.
# AcNd4Ru4 (GGA-PBE, optimized geometry)
data_AcNd4Ru4
_cell_length_a 9.176
_cell_length_b 9.176
_cell_length_c 5.678
_cell_angle_alpha 90.00
_cell_angle_beta 90.00
_cell_angle_gamma 90.00
_space_group_name_H-M_alt 'P 42/n'
_space_group_IT_number 86
loop_
_space_group_symop_operation_xyz
'x,y,z'
'-x,-y,-z'
'-y,x+1/2,z+1/2'
'y,-x+1/2,-z+1/2'
'-x+1/2,-y+1/2,z'
'x+1/2,y+1/2,-z'
'y+1/2,-x,z+1/2'
'-y+1/2,x,-z+1/2'
loop_
_atom_site_label
_atom_site_type_symbol
_atom_site_fract_x
_atom_site_fract_y
_atom_site_fract_z
Ac1 Ac 0.250 0.250 0.250
Nd1 Nd 0.067 0.672 0.131
Ru1 Ru 0.018 0.619 0.620
# * calculated formation energy: 0.04 eV/atom
# * theoretical density: 8.4 g cm⁻³
# * DOS at the Fermi energy: 11.77 states/eV/f.u.